Entry from the Alexandria database: an optimized crystal structure of RbSbI2 (PBE). Values from VASP.

Output
Fermi-level density of states: 2.2 states/eV per cell
DFT total energy: -2.2074 eV/atom

```
&SYSTEM
  ibrav = 0, nat = 4, ntyp = 3
/
ATOMIC_SPECIES
Rb 85.47 Rb.upf
Sb 121.76 Sb.upf
I 126.90 I.upf
ATOMIC_POSITIONS crystal
Rb 0.000 0.000 0.000
Sb 0.500 0.500 0.500
I 0.123 0.123 0.123
I 0.877 0.877 0.877
CELL_PARAMETERS angstrom
2.698 1.558 9.329
-2.698 1.558 9.329
0.000 -3.116 9.329
```

Entry from the Alexandria database: an optimized crystal structure of Rb3Sb2I9 (PBE). Values from VASP.

Output
Fermi-level density of states: 0.0 states/eV per cell
DFT total energy: -2.6501 eV/atom

```
&SYSTEM
  ibrav = 0, nat = 56, ntyp = 3
/
ATOMIC_SPECIES
Rb 85.47 Rb.upf
Sb 121.76 Sb.upf
I 126.90 I.upf
ATOMIC_POSITIONS crystal
Rb 0.035 0.025 0.391
Rb 0.035 0.475 0.891
Rb 0.305 0.523 0.776
Rb 0.305 0.977 0.276
Rb 0.370 0.021 0.060
Rb 0.370 0.479 0.560
Rb 0.630 0.521 0.440
Rb 0.630 0.979 0.940
Rb 0.695 0.023 0.724
Rb 0.695 0.477 0.224
Rb 0.965 0.525 0.109
Rb 0.965 0.975 0.609
Sb 0.171 0.504 0.340
Sb 0.171 0.996 0.840
Sb 0.327 0.509 0.160
Sb 0.327 0.991 0.660
Sb 0.673 0.009 0.340
Sb 0.673 0.491 0.840
Sb 0.829 0.004 0.160
Sb 0.829 0.496 0.660
I 0.051 0.688 0.753
I 0.051 0.812 0.253
I 0.091 0.577 0.418
I 0.091 0.923 0.918
I 0.157 0.190 0.560
I 0.157 0.310 0.060
I 0.191 0.708 0.615
I 0.191 0.792 0.115
I 0.241 0.087 0.746
I 0.241 0.413 0.246
I 0.281 0.216 0.412
I 0.281 0.284 0.912
I 0.366 0.695 0.417
I 0.366 0.805 0.917
I 0.417 0.576 0.086
I 0.417 0.924 0.586
I 0.481 0.197 0.219
I 0.481 0.303 0.719
I 0.519 0.697 0.281
I 0.519 0.803 0.781
I 0.583 0.076 0.414
I 0.583 0.424 0.914
I 0.634 0.195 0.083
I 0.634 0.305 0.583
I 0.719 0.716 0.088
I 0.719 0.784 0.588
I 0.759 0.587 0.754
I 0.759 0.913 0.254
I 0.809 0.208 0.885
I 0.809 0.292 0.385
I 0.843 0.690 0.940
I 0.843 0.810 0.440
I 0.909 0.077 0.082
I 0.909 0.423 0.582
I 0.949 0.188 0.747
I 0.949 0.312 0.247
CELL_PARAMETERS angstrom
14.943 0.000 0.000
0.000 8.412 0.000
-14.274 0.000 21.274
```

> What is the Fermi-level density of states in the first record?

2.2 states/eV per cell

> What is the DFT total energy in the first record?

-2.2074 eV/atom

> Look up the DFT total energy of the second one.

-2.6501 eV/atom